Record 1
{"formula": "K2LiPmI6", "functional": "GGA-PBE", "state": "optimized geometry", "lattice": [[8.182, 0.000, 0.000], [0.000, 8.628, 0.000], [-8.030, 0.000, 11.688]], "species": ["K", "K", "K", "K", "Li", "Li", "Pm", "Pm", "I", "I", "I", "I", "I", "I", "I", "I", "I", "I", "I", "I"], "fractional_positions": [[0.216, 0.085, 0.246], [0.216, 0.415, 0.746], [0.784, 0.585, 0.254], [0.784, 0.915, 0.754], [0.000, 0.000, 0.500], [0.000, 0.500, 0.000], [0.500, 0.000, 0.000], [0.500, 0.500, 0.500], [0.138, 0.197, 0.946], [0.138, 0.303, 0.446], [0.256, 0.696, 0.948], [0.256, 0.804, 0.448], [0.352, 0.022, 0.744], [0.352, 0.478, 0.244], [0.648, 0.522, 0.756], [0.648, 0.978, 0.256], [0.744, 0.196, 0.552], [0.744, 0.304, 0.052], [0.862, 0.697, 0.554], [0.862, 0.803, 0.054]], "dft_energy_ev_per_atom": -3.2092, "raw_formation_energy_ev_per_atom": -1.393}

---

Record 2
{"formula": "KLi2PrI6", "functional": "GGA-PBE", "state": "optimized geometry", "lattice": [[3.984, 2.300, 7.233], [-3.984, 2.300, 7.233], [0.000, -4.600, 7.233]], "species": ["K", "Li", "Li", "Pr", "I", "I", "I", "I", "I", "I"], "fractional_positions": [[0.000, 0.000, 0.000], [0.294, 0.294, 0.294], [0.799, 0.799, 0.799], [0.485, 0.485, 0.485], [0.060, 0.647, 0.458], [0.199, 0.549, 0.904], [0.458, 0.060, 0.647], [0.549, 0.904, 0.199], [0.647, 0.458, 0.060], [0.904, 0.199, 0.549]], "dft_energy_ev_per_atom": -3.2139, "raw_formation_energy_ev_per_atom": -1.313}

---

Record 3
{"formula": "K2LiPtI6", "functional": "GGA-PBE", "state": "optimized geometry", "lattice": [[3.974, 2.294, 13.991], [-3.974, 2.294, 13.991], [0.000, -4.588, 13.991]], "species": ["K", "K", "K", "K", "Li", "Li", "Pt", "Pt", "I", "I", "I", "I", "I", "I", "I", "I", "I", "I", "I", "I"], "fractional_positions": [[0.116, 0.116, 0.116], [0.305, 0.305, 0.305], [0.695, 0.695, 0.695], [0.884, 0.884, 0.884], [0.423, 0.423, 0.423], [0.577, 0.577, 0.577], [0.000, 0.000, 0.000], [0.500, 0.500, 0.500], [0.132, 0.627, 0.627], [0.202, 0.202, 0.711], [0.202, 0.711, 0.202], [0.289, 0.798, 0.798], [0.373, 0.373, 0.868], [0.373, 0.868, 0.373], [0.627, 0.132, 0.627], [0.627, 0.627, 0.132], [0.711, 0.202, 0.202], [0.798, 0.289, 0.798], [0.798, 0.798, 0.289], [0.868, 0.373, 0.373]], "dft_energy_ev_per_atom": -2.7509, "raw_formation_energy_ev_per_atom": -0.806}

---

Record 4
{"formula": "KLi2PuI6", "functional": "GGA-PBE", "state": "optimized geometry", "lattice": [[3.948, 2.279, 7.265], [-3.948, 2.279, 7.265], [0.000, -4.559, 7.265]], "species": ["K", "Li", "Li", "Pu", "I", "I", "I", "I", "I", "I"], "fractional_positions": [[0.000, 0.000, 0.000], [0.296, 0.296, 0.296], [0.803, 0.803, 0.803], [0.483, 0.483, 0.483], [0.063, 0.649, 0.460], [0.208, 0.550, 0.901], [0.460, 0.063, 0.649], [0.550, 0.901, 0.208], [0.649, 0.460, 0.063], [0.901, 0.208, 0.550]], "dft_energy_ev_per_atom": -4.0226, "raw_formation_energy_ev_per_atom": -1.167}

---

Record 5
{"formula": "K2RbLiI4", "functional": "GGA-PBE", "state": "optimized geometry", "lattice": [[2.457, -8.296, 0.000], [2.457, 8.296, 0.000], [0.000, 0.000, 17.599]], "species": ["K", "K", "K", "K", "Rb", "Rb", "Li", "Li", "I", "I", "I", "I", "I", "I", "I", "I"], "fractional_positions": [[0.135, 0.865, 0.553], [0.135, 0.865, 0.947], [0.865, 0.135, 0.053], [0.865, 0.135, 0.447], [0.391, 0.609, 0.750], [0.609, 0.391, 0.250], [0.335, 0.665, 0.250], [0.665, 0.335, 0.750], [0.072, 0.928, 0.750], [0.230, 0.770, 0.128], [0.230, 0.770, 0.372], [0.500, 0.500, 0.000], [0.500, 0.500, 0.500], [0.770, 0.230, 0.628], [0.770, 0.230, 0.872], [0.928, 0.072, 0.250]], "dft_energy_ev_per_atom": -2.8126, "raw_formation_energy_ev_per_atom": -1.403}

---

Record 6
{"formula": "KRbLiI3", "functional": "GGA-PBE", "state": "optimized geometry", "lattice": [[9.759, -2.850, 0.000], [9.759, 2.850, 0.000], [-2.420, 0.000, 9.434]], "species": ["K", "K", "Rb", "Rb", "Li", "Li", "I", "I", "I", "I", "I", "I"], "fractional_positions": [[0.151, 0.151, 0.074], [0.849, 0.849, 0.926], [0.150, 0.150, 0.575], [0.850, 0.850, 0.425], [0.498, 0.498, 0.240], [0.502, 0.502, 0.760], [0.001, 0.001, 0.760], [0.342, 0.342, 0.165], [0.346, 0.346, 0.681], [0.654, 0.654, 0.319], [0.658, 0.658, 0.835], [0.999, 0.999, 0.240]], "dft_energy_ev_per_atom": -2.7763, "raw_formation_energy_ev_per_atom": -1.338}